Record 1
Below is an optimized crystal structure of Cs2AlHg, with properties calculated at the GGA-PBEsol level. Values from VASP.

## Properties
* uncorrected energy: -0.1117 Ry/atom
* magnetic moment: 0.0 μB/f.u.
* ΔH_f (0 K): 116 meV/atom

```
&SYSTEM
  ibrav = 0, nat = 8, ntyp = 3
/
ATOMIC_SPECIES
Hg 200.59 Hg.upf
Cs 132.91 Cs.upf
Al 26.98 Al.upf
ATOMIC_POSITIONS crystal
Hg 0.0000 0.0000 0.0000
Hg 0.7500 0.5000 0.5000
Cs 0.8750 0.3255 0.1745
Cs 0.3750 0.6745 0.8255
Cs 0.9505 0.1745 0.6745
Cs 0.7995 0.8255 0.3255
Al 0.2500 0.5000 0.5000
Al 0.5000 0.0000 0.0000
CELL_PARAMETERS angstrom
4.9707 0.0000 0.0000
2.4853 9.7991 0.0000
2.4853 0.0000 9.7991
```

***

Record 2
Below is an optimized crystal structure of Mn2AgSb, with properties calculated at the GGA-PBEsol level. Values from VASP.

## Properties
* uncorrected energy: -0.4789 Ry/atom
* magnetic moment: 0.3 μB/f.u.
* ΔE_f (raw): 1.3 eV/f.u.

```
&SYSTEM
  ibrav = 0, nat = 4, ntyp = 3
/
ATOMIC_SPECIES
Sb 121.76 Sb.upf
Ag 107.87 Ag.upf
Mn 54.94 Mn.upf
ATOMIC_POSITIONS crystal
Sb 0.0000 0.0000 0.4656
Ag 0.5000 0.5000 0.7959
Mn 0.0000 0.0000 0.0362
Mn 0.5000 0.5000 0.2023
CELL_PARAMETERS angstrom
-0.9317 2.0261 2.0291
-2.8342 -0.3268 -0.9751
-1.0574 -5.3646 4.8711
```